Entry 1:
# LaRuW2 PBE-GGA optimized geometry
data_LaRuW2
_chemical_formula_sum 'La1 Ru1 W2'
_cell_length_a 3.717
_cell_length_b 2.887
_cell_length_c 8.009
_cell_angle_alpha 68.78
_cell_angle_beta 90.00
_cell_angle_gamma 90.00
_symmetry_space_group_name_H-M 'P 1'
_symmetry_Int_Tables_number 1
loop_
_symmetry_equiv_pos_as_xyz
'x,y,z'
loop_
_atom_site_label
_atom_site_type_symbol
_atom_site_fract_x
_atom_site_fract_y
_atom_site_fract_z
Ru1 Ru 0.500 0.750 0.750
W1 W 0.000 0.077 0.924
W2 W 0.000 0.423 0.576
La1 La 0.500 0.250 0.250
# * volume: 20.03 Å³ per atom
# * total magnetization: 0.00 μB/f.u.
# * Fermi-level density of states: 1.046 states/eV/atom
# * ΔE_f: 516 meV per atom



Entry 2:
# LaRuW2 PBE-GGA optimized geometry
data_LaRuW2
_chemical_formula_sum 'La1 Ru1 W2'
_cell_length_a 4.992
_cell_length_b 4.992
_cell_length_c 5.807
_cell_angle_alpha 73.85
_cell_angle_beta 73.85
_cell_angle_gamma 36.51
_symmetry_space_group_name_H-M 'P 1'
_symmetry_Int_Tables_number 1
loop_
_symmetry_equiv_pos_as_xyz
'x,y,z'
loop_
_atom_site_label
_atom_site_type_symbol
_atom_site_fract_x
_atom_site_fract_y
_atom_site_fract_z
Ru1 Ru 0.273 0.273 0.171
W1 W 0.997 0.997 0.003
W2 W 0.720 0.720 0.837
La1 La 0.510 0.510 0.490
# * volume: 20.58 Å³ per atom
# * total magnetization: 0.00 μB/f.u.
# * Fermi-level density of states: 1.090 states/eV/atom
# * ΔE_f: 511 meV per atom